No. 1
# MnInI2

A relaxed structure of MnInI2 (GGA-PBE, the Alexandria database).

Lattice parameters (Å, degrees): 9.434 9.434 7.194 49.03 49.03 90.00
Element x y z (fractional)
I 0.479 0.125 0.250
Mn 0.500 0.500 0.000
In 0.000 0.000 0.000
In 0.750 0.250 0.500
Mn 0.250 0.750 0.500
I 0.875 0.729 0.750
I 0.271 0.625 0.250
I 0.375 0.521 0.750

Properties
Volume, Å³/atom: 30.0
Energy above the most stable polymorph in this dataset, eV/atom: 0.0808

No. 2
# TbTm2Ge2Pt7

A relaxed structure of TbTm2Ge2Pt7 (GGA-PBE, the Alexandria database).

Lattice parameters (Å, degrees): 4.040 4.040 14.062 82.96 82.96 89.40
Element x y z (fractional)
Pt 0.432 0.932 0.158
Pt 0.932 0.432 0.158
Pt 0.568 0.068 0.842
Ge 0.611 0.611 0.738
Tb 0.000 0.000 0.000
Pt 0.068 0.568 0.842
Pt 0.352 0.352 0.435
Pt 0.648 0.648 0.565
Tm 0.865 0.865 0.359
Pt 0.500 0.500 0.000
Ge 0.389 0.389 0.262
Tm 0.135 0.135 0.641

Properties
Volume, Å³/atom: 18.8
Formation enthalpy at 0 K, eV/atom: -0.972

| no. | N(E_F) (states/eV/cell) | total moment (μB/f.u.) | density (g/cm³) |
| --- | --- | --- | --- |
| 1 | 8.665 | 0.000 | 5.9 |
| 2 | 4.264 | 0.000 | 14.8 |